Record 1
# GGA+U K2MnCuO4, optimized geometry
data_K2MnCuO4
_space_group_name_H-M_alt 'P 1'
_space_group_IT_number 1
_cell_length_a 4.912
_cell_length_b 6.268
_cell_length_c 10.164
_cell_angle_alpha 84.57
_cell_angle_beta 76.02
_cell_angle_gamma 66.93
loop_
_space_group_symop_operation_xyz
'x,y,z'
loop_
_atom_site_label
_atom_site_type_symbol
_atom_site_fract_x
_atom_site_fract_y
_atom_site_fract_z
_atom_site_occupancy
O1 O 0.422 0.681 0.402 1
Cu1 Cu 0.000 0.000 0.000 1
O2 O 0.506 0.319 0.598 1
Mn1 Mn 0.500 0.000 0.000 1
O3 O 0.854 0.819 0.902 1
K1 K 0.174 0.000 0.651 1
O4 O 0.244 0.181 0.902 1
O5 O 0.575 0.181 0.098 1
O6 O 0.896 0.681 0.598 1
Cu2 Cu 0.750 0.500 0.500 1
K2 K 0.576 0.500 0.849 1
O7 O 0.328 0.819 0.098 1
O8 O 0.175 0.319 0.402 1
K3 K 0.924 0.500 0.151 1
Mn2 Mn 0.250 0.500 0.500 1
K4 K 0.826 0.000 0.349 1
# Total DFT energy (no corrections): -5.304 eV per atom

=====

Record 2
# GGA+U K2MnCuO, optimized geometry
data_K2MnCuO
_space_group_name_H-M_alt 'P 1'
_space_group_IT_number 1
_cell_length_a 5.798
_cell_length_b 3.854
_cell_length_c 5.798
_cell_angle_alpha 90.00
_cell_angle_beta 90.00
_cell_angle_gamma 90.00
loop_
_space_group_symop_operation_xyz
'x,y,z'
loop_
_atom_site_label
_atom_site_type_symbol
_atom_site_fract_x
_atom_site_fract_y
_atom_site_fract_z
_atom_site_occupancy
Cu1 Cu 0.500 0.500 0.500 1
K1 K 0.000 0.000 0.500 1
O1 O 0.000 0.000 0.000 1
K2 K 0.500 0.000 0.000 1
Mn1 Mn 0.000 0.500 0.000 1
# Total DFT energy (no corrections): -4.089 eV per atom

=====

| no. | total magnetization (μB/cell) |
| --- | --- |
| 1 | 3.91 |
| 2 | 4.13 |